The following is a DFT calculation (PBE-GGA) of a relaxed structure of V2HAu.

Cell lengths 2.674, 2.674, 6.688 Å; angles 90.00, 90.00, 90.00 degrees
Fractional positions:
V 0.000 0.000 0.177
V 0.000 0.000 0.823
H 0.500 0.500 0.000
Au 0.500 0.500 0.500

Properties
Theoretical density ... 10.41 g/cm³
Relative energy among the computed polymorphs ... 182 meV/atom


The following is a DFT calculation (PBE-GGA) of a relaxed structure of ScBe2Fe3.

Cell lengths 4.790, 4.790, 3.606 Å; angles 90.00, 90.00, 120.00 degrees
Fractional positions:
Sc 0.000 0.000 0.000
Be 0.333 0.667 0.000
Be 0.667 0.333 0.000
Fe 0.000 0.500 0.500
Fe 0.500 0.000 0.500
Fe 0.500 0.500 0.500

Properties
Theoretical density ... 5.34 g/cm³
ΔE_f ... -16 kJ/mol of atoms


The following is a DFT calculation (PBE-GGA) of a relaxed structure of AgSb2TeF.

Cell lengths 5.373, 5.373, 5.346 Å; angles 90.00, 90.00, 90.00 degrees
Fractional positions:
Ag 0.000 0.000 0.000
Sb 0.000 0.500 0.000
Sb 0.500 0.000 0.000
Te 0.000 0.000 0.500
F 0.500 0.500 0.500

Properties
Theoretical density ... 5.36 g/cm³
E_form (uncorrected) ... 8.93 kcal/mol of atoms
Relative energy among the computed polymorphs ... 348 meV/atom


The following is a DFT calculation (PBE-GGA) of a relaxed structure of Pr6AuS2I3.

Cell lengths 7.272, 7.272, 8.296 Å; angles 98.30, 98.30, 119.89 degrees
Fractional positions:
Pr 0.084 0.434 0.801
Pr 0.217 0.217 0.195
Pr 0.434 0.084 0.801
Pr 0.566 0.916 0.199
Pr 0.783 0.783 0.805
Pr 0.916 0.566 0.199
Au 0.500 0.500 0.000
S 0.167 0.833 0.000
S 0.833 0.167 0.000
I 0.000 0.000 0.500
I 0.338 0.662 0.500
I 0.662 0.338 0.500

Properties
Theoretical density ... 6.78 g/cm³
E_form (uncorrected) ... -29.32 kcal/mol of atoms


The following is a DFT calculation (PBE-GGA) of a relaxed structure of Sr3CrN3.

Cell lengths 7.829, 7.829, 5.254 Å; angles 90.00, 90.00, 120.00 degrees
Fractional positions:
Sr 0.084 0.358 0.250
Sr 0.274 0.916 0.250
Sr 0.358 0.274 0.750
Sr 0.642 0.726 0.250
Sr 0.726 0.084 0.750
Sr 0.916 0.642 0.750
Cr 0.333 0.667 0.750
Cr 0.667 0.333 0.250
N 0.122 0.437 0.750
N 0.315 0.878 0.750
N 0.437 0.315 0.250
N 0.563 0.685 0.750
N 0.685 0.122 0.250
N 0.878 0.563 0.250

Properties
Theoretical density ... 4.25 g/cm³
E_form (uncorrected) ... -19.34 kcal/mol of atoms
Relative energy among the computed polymorphs ... 0 meV/atom


The following is a DFT calculation (PBE-GGA) of a relaxed structure of CaNdAgRu.

Cell lengths 5.066, 5.066, 5.066 Å; angles 60.00, 60.00, 60.00 degrees
Fractional positions:
Ca 0.000 0.000 0.000
Nd 0.500 0.500 0.500
Ag 0.750 0.750 0.750
Ru 0.250 0.250 0.250

Properties
Theoretical density ... 7.10 g/cm³
ΔE_f ... -7 kJ/mol of atoms


The following is a DFT calculation (PBE-GGA) of a relaxed structure of SrTeSe2.

Cell lengths 5.422, 5.422, 5.409 Å; angles 111.43, 111.43, 105.47 degrees
Fractional positions:
Sr 0.000 0.000 0.000
Te 0.500 0.500 0.000
Se 0.000 0.500 0.500
Se 0.500 0.000 0.500

Properties
Theoretical density ... 5.07 g/cm³
E_form (uncorrected) ... -18.67 kcal/mol of atoms


The following is a DFT calculation (PBE-GGA) of a relaxed structure of Sm2DyYSe5.

Cell lengths 5.152, 5.152, 10.736 Å; angles 90.00, 90.00, 90.00 degrees
Fractional positions:
Sm 0.000 0.000 0.169
Sm 0.000 0.000 0.831
Dy 0.500 0.500 0.000
Y 0.500 0.500 0.500
Se 0.000 0.000 0.500
Se 0.000 0.500 0.000
Se 0.500 0.000 0.000
Se 0.500 0.500 0.254
Se 0.500 0.500 0.746

Properties
Theoretical density ... 5.52 g/cm³
E_form (uncorrected) ... -27.95 kcal/mol of atoms


The following is a DFT calculation (PBE-GGA) of a relaxed structure of LaZrRu.

Cell lengths 4.694, 4.694, 3.515 Å; angles 90.00, 90.00, 120.00 degrees
Fractional positions:
La 0.000 0.000 0.000
Zr 0.333 0.667 0.587
Ru 0.667 0.333 0.345

Properties
Theoretical density ... 8.20 g/cm³
ΔE_f ... 0 kJ/mol of atoms
Relative energy among the computed polymorphs ... 163 meV/atom


The following is a DFT calculation (PBE-GGA) of a relaxed structure of CrInCl2.

Cell lengths 5.072, 5.072, 5.072 Å; angles 60.00, 60.00, 60.00 degrees
Fractional positions:
Cr 0.000 0.000 0.000
In 0.250 0.250 0.250
Cl 0.500 0.500 0.500
Cl 0.750 0.750 0.750

Properties
Theoretical density ... 4.28 g/cm³
E_form (uncorrected) ... -0.17 kcal/mol of atoms
Relative energy among the computed polymorphs ... 526 meV/atom


The following is a DFT calculation (PBE-GGA) of a relaxed structure of DyEr2GaAu4.

Cell lengths 8.707, 8.707, 8.707 Å; angles 33.02, 33.02, 33.02 degrees
Fractional positions:
Dy 0.000 0.000 0.000
Er 0.241 0.241 0.241
Er 0.759 0.759 0.759
Ga 0.500 0.500 0.500
Au 0.120 0.120 0.120
Au 0.368 0.368 0.368
Au 0.632 0.632 0.632
Au 0.880 0.880 0.880

Properties
Theoretical density ... 12.90 g/cm³
ΔE_f ... -74 kJ/mol of atoms


The following is a DFT calculation (PBE-GGA) of a relaxed structure of RbBiF6.

Cell lengths 5.345, 5.345, 5.345 Å; angles 96.74, 96.74, 96.74 degrees
Fractional positions:
Rb 0.000 0.000 0.000
Bi 0.500 0.500 0.500
F 0.191 0.581 0.273
F 0.273 0.191 0.581
F 0.419 0.727 0.809
F 0.581 0.273 0.191
F 0.727 0.809 0.419
F 0.809 0.419 0.727

Properties
Theoretical density ... 4.54 g/cm³
E_form (uncorrected) ... -51.06 kcal/mol of atoms
Relative energy among the computed polymorphs ... 0 meV/atom